# ScFe3 | the Alexandria database | PBE | relaxed
# Final energy = -8.10 eV per atom
# Energy of formation = -0.1730 eV per atom
data_ScFe3
_space_group_name_H-M_alt 'P 63/m m c'
_space_group_IT_number 194
_space_group_name_Hall '-P 6c 2c'
_cell_length_a 4.8983
_cell_length_b 4.8983
_cell_length_c 15.8084
_cell_angle_alpha 90.00
_cell_angle_beta 90.00
_cell_angle_gamma 120.00
loop_
_atom_site_label
_atom_site_type_symbol
_atom_site_fract_x
_atom_site_fract_y
_atom_site_fract_z
Sc1 Sc 0.3333 0.6667 0.0365
Sc2 Sc 0.3333 0.6667 0.2500
Fe1 Fe 0.0000 0.0000 0.0000
Fe2 Fe 0.0000 0.0000 0.2500
Fe3 Fe 0.1680 0.3361 0.6247
Fe4 Fe 0.3333 0.6667 0.7500

# Pr3NdAl | the Alexandria database | PBE | relaxed
# Final energy = -4.49 eV per atom
# Energy of formation = 0.0796 eV per atom
# Distance to the lowest polymorph of the same formula = 187 meV/atom
data_Pr3NdAl
_space_group_name_H-M_alt 'A m m 2'
_space_group_IT_number 38
_cell_length_a 5.3266
_cell_length_b 9.6689
_cell_length_c 6.6967
_cell_angle_alpha 90.00
_cell_angle_beta 90.00
_cell_angle_gamma 90.00
loop_
_space_group_symop_operation_xyz
'x,y,z'
'-x,-y,z'
'-x,y,z'
'x,-y,z'
'x,y+1/2,z+1/2'
'-x,-y+1/2,z+1/2'
'-x,y+1/2,z+1/2'
'x,-y+1/2,z+1/2'
loop_
_atom_site_label
_atom_site_type_symbol
_atom_site_fract_x
_atom_site_fract_y
_atom_site_fract_z
Pr1 Pr 0.0000 0.0000 0.0000
Pr2 Pr 0.5000 0.1864 0.7304
Nd1 Nd 0.0000 0.0000 0.4684
Al1 Al 0.5000 0.0000 0.2384

# HOsIN2 | the Alexandria database | PBE | relaxed
# Final energy = -3.98 eV per atom
# Distance to the lowest polymorph of the same formula = 1618 meV/atom
data_HOsIN2
_space_group_name_H-M_alt 'P 4/m m m'
_space_group_IT_number 123
_space_group_name_Hall '-P 4 2'
_cell_length_a 4.0390
_cell_length_b 4.0390
_cell_length_c 3.3700
_cell_angle_alpha 90.00
_cell_angle_beta 90.00
_cell_angle_gamma 90.00
loop_
_atom_site_label
_atom_site_type_symbol
_atom_site_fract_x
_atom_site_fract_y
_atom_site_fract_z
H1 H 0.0000 0.0000 0.0000
Os1 Os 0.5000 0.5000 0.5000
I1 I 0.0000 0.0000 0.5000
N1 N 0.0000 0.5000 0.0000

# LaAlHg | the Alexandria database | PBE | relaxed
# Final energy = -3.38 eV per atom
# Energy of formation = -0.3872 eV per atom
data_LaAlHg
_space_group_name_H-M_alt 'R 3 m'
_space_group_IT_number 160
_space_group_name_Hall 'R 3 -2"'
_cell_length_a 4.4820
_cell_length_b 4.4820
_cell_length_c 29.2535
_cell_angle_alpha 90.00
_cell_angle_beta 90.00
_cell_angle_gamma 120.00
loop_
_atom_site_label
_atom_site_type_symbol
_atom_site_fract_x
_atom_site_fract_y
_atom_site_fract_z
La1 La 0.0000 0.0000 0.0000
La2 La 0.0000 0.0000 0.1478
Al1 Al 0.0000 0.0000 0.4067
Al2 Al 0.0000 0.0000 0.7443
Hg1 Hg 0.0000 0.0000 0.5986
Hg2 Hg 0.0000 0.0000 0.8796

# Li3FeP | the Alexandria database | PBE | relaxed
# Final energy = -3.13 eV per atom
# Energy of formation = 0.7909 eV per atom
# Distance to the lowest polymorph of the same formula = 493 meV/atom
data_Li3FeP
_space_group_name_H-M_alt 'P m -3 m'
_space_group_IT_number 221
_space_group_name_Hall '-P 4 2 3'
_cell_length_a 4.5377
_cell_length_b 4.5377
_cell_length_c 4.5377
_cell_angle_alpha 90.00
_cell_angle_beta 90.00
_cell_angle_gamma 90.00
loop_
_atom_site_label
_atom_site_type_symbol
_atom_site_fract_x
_atom_site_fract_y
_atom_site_fract_z
Li1 Li 0.0000 0.0000 0.5000
Fe1 Fe 0.0000 0.0000 0.0000
P1 P 0.5000 0.5000 0.5000

# La2Ho6Th | the Alexandria database | PBE | relaxed
# Final energy = -4.91 eV per atom
# Energy of formation = 0.0624 eV per atom
# Distance to the lowest polymorph of the same formula = 0 meV/atom
data_La2Ho6Th
_space_group_name_H-M_alt 'C 1 2/m 1'
_space_group_IT_number 12
_cell_length_a 17.0208
_cell_length_b 9.8222
_cell_length_c 3.5009
_cell_angle_alpha 90.00
_cell_angle_beta 90.11
_cell_angle_gamma 90.00
loop_
_space_group_symop_operation_xyz
'x,y,z'
'-x,-y,-z'
'-x,y,-z'
'x,-y,z'
'x+1/2,y+1/2,z'
'-x+1/2,-y+1/2,-z'
'-x+1/2,y+1/2,-z'
'x+1/2,-y+1/2,z'
loop_
_atom_site_label
_atom_site_type_symbol
_atom_site_fract_x
_atom_site_fract_y
_atom_site_fract_z
La1 La 0.1667 0.0000 0.0002
Ho1 Ho 0.0000 0.1705 0.5000
Ho2 Ho 0.1648 0.3354 0.5008
Th1 Th 0.0000 0.5000 0.0000